Computed, not measured: Ac2P4Ru5 after structural relaxation at the PBE-GGA level of DFT.

Lattice parameters (Å, degrees): 5.748 5.903 7.247 78.87 66.63 60.87
Positions (direct):
1 Ac 0.865 0.000 0.270
2 Ac 0.135 0.000 0.730
3 P 0.468 0.321 0.743
4 P 0.532 0.679 0.257
5 P 0.211 0.321 0.257
6 P 0.789 0.679 0.743
7 Ru 0.500 0.000 0.000
8 Ru 0.000 0.500 0.000
9 Ru 0.500 0.500 0.000
10 Ru 0.250 0.500 0.500
11 Ru 0.750 0.500 0.500

Properties
Calculated formation energy, eV/f.u.: -8.59
SG: Fmmm (69)
VASP energy, eV/atom: -7.71



Computed, not measured: NaZnP2HO7 after structural relaxation at the PBE-GGA level of DFT.

Lattice parameters (Å, degrees): 6.603 6.586 6.837 95.72 113.58 87.87
Positions (direct):
1 Na 0.811 0.662 0.765
2 Na 0.189 0.338 0.235
3 Zn 0.219 0.851 0.628
4 Zn 0.781 0.149 0.372
5 P 0.765 0.643 0.284
6 P 0.235 0.357 0.716
7 P 0.338 0.876 0.137
8 P 0.662 0.124 0.863
9 H 0.078 0.714 0.206
10 H 0.922 0.286 0.794
11 O 0.263 0.535 0.603
12 O 0.737 0.465 0.397
13 O 0.867 0.831 0.448
14 O 0.133 0.169 0.552
15 O 0.887 0.595 0.135
16 O 0.113 0.405 0.865
17 O 0.453 0.078 0.245
18 O 0.547 0.922 0.755
19 O 0.767 0.207 0.716
20 O 0.233 0.793 0.284
21 O 0.480 0.290 0.873
22 O 0.520 0.710 0.127
23 O 0.833 0.123 0.091
24 O 0.167 0.877 0.909

Properties
SG: P-1 (2)
VASP energy, eV/atom: -6.26



Computed, not measured: Cr2CuAsBr after structural relaxation at the PBE-GGA level of DFT.

Lattice parameters (Å, degrees): 5.020 4.507 5.020 90.00 90.00 90.00
Each line ends with the local moment (μB).
Positions (direct):
1 Cr 0.000 0.000 0.500  4.03
2 Cr 0.500 0.000 0.000  3.86
3 As 0.000 0.000 0.000  -0.08
4 Cu 0.000 0.500 0.000  0.02
5 Br 0.500 0.500 0.500  0.06

Properties
SG: P4/mmm (123)
VASP energy, eV/atom: -5.51



Computed, not measured: GdLuCd after structural relaxation at the PBE-GGA level of DFT.

Lattice parameters (Å, degrees): 3.538 5.233 5.233 120.00 90.00 90.00
Each line ends with the local moment (μB).
Positions (direct):
1 Gd 0.364 0.333 0.667  -7.13
2 Lu 0.912 0.000 0.000  -0.05
3 Cd 0.724 0.667 0.333  0.01

Properties
Distance to the lowest polymorph of the same formula, kJ/mol of atoms: 12.3
Calculated formation energy, eV/f.u.: -0.23
SG: P3m1 (156)
VASP energy, eV/atom: -6.58



Computed, not measured: Li5TlAu2 after structural relaxation at the PBE-GGA level of DFT.

Lattice parameters (Å, degrees): 5.255 5.255 13.790 90.00 90.00 129.37
Positions (direct):
1 Li 0.091 0.909 0.095
2 Li 0.091 0.909 0.405
3 Li 0.600 0.400 0.586
4 Li 0.600 0.400 0.914
5 Li 0.128 0.872 0.750
6 Li 0.872 0.128 0.250
7 Li 0.400 0.600 0.414
8 Li 0.400 0.600 0.086
9 Li 0.909 0.091 0.905
10 Li 0.909 0.091 0.595
11 Tl 0.574 0.426 0.250
12 Tl 0.426 0.574 0.750
13 Au 0.247 0.753 0.573
14 Au 0.247 0.753 0.927
15 Au 0.753 0.247 0.427
16 Au 0.753 0.247 0.073

Properties
Distance to the lowest polymorph of the same formula, kJ/mol of atoms: 4.7
Calculated formation energy, eV/f.u.: -2.78
SG: Cmcm (63)
VASP energy, eV/atom: -2.66



Computed, not measured: La5Tc3 after structural relaxation at the PBE-GGA level of DFT.

Lattice parameters (Å, degrees): 9.394 10.509 7.663 96.75 87.85 144.00
Positions (direct):
1 Tc 0.755 0.755 0.995
2 Tc 0.244 0.245 0.005
3 Tc 0.348 0.083 0.454
4 Tc 0.651 0.917 0.546
5 Tc 0.124 0.590 0.884
6 Tc 0.875 0.410 0.116
7 La 0.208 0.777 0.553
8 La 0.791 0.223 0.447
9 La 0.742 0.067 0.904
10 La 0.257 0.933 0.096
11 La 0.676 0.513 0.293
12 La 0.324 0.487 0.707
13 La 0.638 0.393 0.817
14 La 0.362 0.607 0.183
15 La 0.013 0.064 0.287
16 La 0.986 0.936 0.713

Properties
Distance to the lowest polymorph of the same formula, kJ/mol of atoms: 0.0
Calculated formation energy, eV/f.u.: 0.61
SG: P-1 (2)
VASP energy, eV/atom: -6.89



Computed, not measured: MnMo2Cl after structural relaxation at the PBE-GGA level of DFT.

Lattice parameters (Å, degrees): 5.354 5.354 5.354 139.77 139.77 58.21
Each line ends with the local moment (μB).
Positions (direct):
1 Cl 0.250 0.750 0.500  0.07
2 Mn 0.750 0.250 0.500  3.45
3 Mo 0.000 0.000 0.000  -0.20
4 Mo 0.500 0.500 0.000  -0.20

Properties
Distance to the lowest polymorph of the same formula, kJ/mol of atoms: 62.6
SG: I4/mmm (139)
VASP energy, eV/atom: -7.35



Computed, not measured: PuSCl after structural relaxation at the PBE-GGA level of DFT.

Lattice parameters (Å, degrees): 3.460 3.460 6.941 104.43 104.43 90.00
Each line ends with the local moment (μB).
Positions (direct):
1 S 0.281 0.281 0.562  -0.17
2 Cl 0.041 0.041 0.082  -0.06
3 Pu 0.678 0.678 0.356  5.11

Properties
Distance to the lowest polymorph of the same formula, kJ/mol of atoms: 26.1
SG: I4mm (107)
VASP energy, eV/atom: -8.28



Computed, not measured: NaLiScTl after structural relaxation at the PBE-GGA level of DFT.

Lattice parameters (Å, degrees): 4.993 4.993 4.993 60.00 60.00 60.00
Positions (direct):
1 Sc 0.500 0.500 0.500
2 Na 0.250 0.250 0.250
3 Tl 0.750 0.750 0.750
4 Li 0.000 0.000 0.000

Properties
Calculated formation energy, eV/f.u.: -0.26
SG: F-43m (216)
VASP energy, eV/atom: -3.05



Computed, not measured: NaSrPd3 after structural relaxation at the PBE-GGA level of DFT.

Lattice parameters (Å, degrees): 4.848 4.848 4.848 90.00 90.00 90.00
Positions (direct):
1 Sr 0.500 0.500 0.500
2 Pd 0.000 0.500 0.000
3 Pd 0.000 0.000 0.500
4 Pd 0.500 0.000 0.000
5 Na 0.000 0.000 0.000

Properties
Distance to the lowest polymorph of the same formula, kJ/mol of atoms: 0.0
Calculated formation energy, eV/f.u.: 0.94
SG: Pm-3m (221)
VASP energy, eV/atom: -3.53



Computed, not measured: Dy2YCu2 after structural relaxation at the PBE-GGA level of DFT.

Lattice parameters (Å, degrees): 4.735 4.735 6.309 110.99 110.99 89.90
Positions (direct):
1 Dy 0.250 0.750 0.500
2 Dy 0.750 0.250 0.500
3 Y 0.000 0.000 0.000
4 Cu 0.616 0.616 0.212
5 Cu 0.384 0.384 0.788

Properties
Distance to the lowest polymorph of the same formula, kJ/mol of atoms: 14.4
Calculated formation energy, eV/f.u.: -0.10
SG: C2/m (12)
VASP energy, eV/atom: -4.79



Computed, not measured: V2IrRh6 after structural relaxation at the PBE-GGA level of DFT.

Lattice parameters (Å, degrees): 3.788 6.101 6.048 107.24 108.25 90.00
Positions (direct):
1 V 0.943 0.176 0.886
2 V 0.057 0.824 0.114
3 Ir 0.500 0.500 0.000
4 Rh 0.393 0.838 0.786
5 Rh 0.607 0.162 0.214
6 Rh 0.716 0.835 0.433
7 Rh 0.164 0.504 0.328
8 Rh 0.284 0.165 0.567
9 Rh 0.836 0.496 0.672

Properties
Calculated formation energy, eV/f.u.: -2.64
SG: C2/m (12)
VASP energy, eV/atom: -8.20